No. 1
A plane-wave DFT calculation with PBE was carried out for a geometry-optimized Ti5IrPt4 structure.

a b c (Å): 2.8635 2.8635 18.9004
angles (deg): 90.00 90.00 90.00
Positions (direct):
Pt1 0.0000 0.0000 0.8037
Pt2 0.0000 0.0000 0.6016
Pt3 0.0000 0.0000 0.1963
Pt4 0.0000 0.0000 0.3984
Ti1 0.5000 0.5000 0.5000
Ti2 0.5000 0.5000 0.0941
Ti3 0.5000 0.5000 0.2977
Ti4 0.5000 0.5000 0.9059
Ti5 0.5000 0.5000 0.7023
Ir1 0.0000 0.0000 0.0000

Output
- Size of the total moment: 0.34 μB per formula unit
- SG: P4/mmm
- Energy of formation: -0.89 eV per atom

No. 2
A plane-wave DFT calculation with PBE was carried out for a geometry-optimized Ti4IrPt structure.

a b c (Å): 4.2981 4.2987 6.0850
angles (deg): 89.98 89.99 90.00
Positions (direct):
Ir1 0.0013 0.9973 0.4981
Ti1 0.5014 0.9975 0.7431
Ti2 0.5012 0.9971 0.2531
Ti3 0.0014 0.4974 0.7431
Ti4 0.0012 0.4972 0.2532
Pt1 0.5013 0.4973 0.9981

Output
- Size of the total moment: 0.00 μB per formula unit
- SG: P4/mmm
- Energy of formation: -0.46 eV per atom

No. 3
A plane-wave DFT calculation with PBE was carried out for a geometry-optimized TiIrPt structure.

a b c (Å): 2.8968 5.2587 6.6735
angles (deg): 107.76 90.00 105.99
Positions (direct):
Pt1 0.6438 0.2876 0.5462
Pt2 0.3562 0.7124 0.4538
Ir1 0.0450 0.0900 0.8201
Ir2 0.9550 0.9100 0.1799
Ti1 0.6723 0.3447 0.1484
Ti2 0.3277 0.6553 0.8516

Output
- Size of the total moment: 0.00 μB per formula unit
- SG: C2/m
- Energy of formation: -0.67 eV per atom